# 1
Compound: Ba2MgCu
Source: Alexandria
Functional: meta-GGA SCAN
Structure: single point on PBEsol structure

abc: 4.3952 4.3952 27.9840
angles: 90.00 90.00 120.00
Space group R-3m (No. 166, hexagonal axes)
Asymmetric unit:
Ba (0.0000, 0.0000, 0.2339)
Mg (0.0000, 0.0000, 0.0000)
Cu (0.0000, 0.0000, 0.5000)

Output
M_tot	0.00	μB per formula unit
calculated density	3.857	g/cm3
final energy	-295.58	eV/cell
energy relative to the elements	0.748	eV/f.u.
Fermi-level density of states	9.27	states/eV per cell

# 2
Compound: Ba2MgCu
Source: Alexandria
Functional: meta-GGA SCAN
Structure: single point on PBEsol structure

abc: 4.7293 4.8649 12.5398
angles: 90.00 90.00 90.00
Space group Amm2 (No. 38)
Asymmetric unit:
Ba (0.0000, 0.0000, 0.0000)
Ba (0.5000, 0.0000, 0.2864)
Mg (0.5000, 0.0000, 0.5882)
Cu (0.0000, 0.0000, 0.6947)

Output
M_tot	0.00	μB per formula unit
calculated density	4.173	g/cm3
final energy	-198.19	eV/cell
energy relative to the elements	0.179	eV/f.u.
Fermi-level density of states	5.98	states/eV per cell

# 3
Compound: BaMgCu2Mo
Source: Alexandria
Functional: meta-GGA SCAN
Structure: single point on PBEsol structure

abc: 5.1333 5.1333 5.1439
angles: 90.00 90.00 90.00
Space group P4/mmm (No. 123)
Asymmetric unit:
Ba (0.0000, 0.0000, 0.0000)
Mg (0.5000, 0.5000, 0.5000)
Cu (0.0000, 0.5000, 0.0000)
Mo (0.0000, 0.0000, 0.5000)

Output
M_tot	2.81	μB per formula unit
calculated density	4.712	g/cm3
final energy	-99.56	eV/cell
energy relative to the elements	10.244	eV/f.u.
Fermi-level density of states	3.18	states/eV per cell

# 4
Compound: BaNaMg2Cu
Source: Alexandria
Functional: meta-GGA SCAN
Structure: single point on PBEsol structure

abc: 6.4628 6.4628 5.5349
angles: 90.00 90.00 90.00
Space group P4/mmm (No. 123)
Asymmetric unit:
Ba (0.0000, 0.0000, 0.0000)
Na (0.5000, 0.5000, 0.5000)
Mg (0.0000, 0.5000, 0.0000)
Cu (0.0000, 0.0000, 0.5000)

Output
M_tot	0.00	μB per formula unit
calculated density	1.957	g/cm3
final energy	-64.21	eV/cell
energy relative to the elements	4.699	eV/f.u.
Fermi-level density of states	2.98	states/eV per cell

# 5
Compound: BaMn2Cu
Source: Alexandria
Functional: meta-GGA SCAN
Structure: single point on PBEsol structure

abc: 4.5501 5.6649 7.2157
angles: 90.00 90.00 90.00
Space group Imm2 (No. 44)
Asymmetric unit:
Ba (0.0000, 0.0000, 0.0000)
Mn (0.0000, 0.0000, 0.4743)
Mn (0.0000, 0.5000, 0.1853)
Cu (0.0000, 0.5000, 0.8308)

Output
M_tot	8.64	μB per formula unit
calculated density	5.549	g/cm3
final energy	-178.89	eV/cell
energy relative to the elements	1.816	eV/f.u.
Fermi-level density of states	4.56	states/eV per cell

# 6
Compound: BaMnCu2
Source: Alexandria
Functional: meta-GGA SCAN
Structure: single point on PBEsol structure

abc: 6.8412 6.8412 6.8412
angles: 90.00 90.00 90.00
Space group F-43m (No. 216)
Asymmetric unit:
Ba (0.0000, 0.0000, 0.0000)
Mn (0.2500, 0.2500, 0.7500)
Cu (0.0000, 0.0000, 0.5000)
Cu (0.2500, 0.2500, 0.2500)

Output
M_tot	4.28	μB per formula unit
calculated density	6.625	g/cm3
final energy	-343.44	eV/cell
energy relative to the elements	2.343	eV/f.u.
Fermi-level density of states	9.56	states/eV per cell

# 7
Compound: BaMn2Cu
Source: Alexandria
Functional: meta-GGA SCAN
Structure: single point on PBEsol structure

abc: 4.1476 4.1476 4.4466
angles: 90.00 90.00 90.00
Space group P4/mmm (No. 123)
Asymmetric unit:
Ba (0.0000, 0.0000, 0.0000)
Mn (0.0000, 0.5000, 0.5000)
Cu (0.5000, 0.5000, 0.0000)

Output
M_tot	7.23	μB per formula unit
calculated density	6.746	g/cm3
final energy	-88.28	eV/cell
energy relative to the elements	2.983	eV/f.u.
Fermi-level density of states	3.39	states/eV per cell

# 8
Compound: BaMnCu2
Source: Alexandria
Functional: meta-GGA SCAN
Structure: single point on PBEsol structure

abc: 4.9234 4.9234 6.9407
angles: 90.00 90.00 90.00
Space group I4/mmm (No. 139)
Asymmetric unit:
Ba (0.0000, 0.0000, 0.0000)
Mn (0.0000, 0.0000, 0.5000)
Cu (0.0000, 0.5000, 0.2500)

Output
M_tot	4.64	μB per formula unit
calculated density	6.304	g/cm3
final energy	-173.09	eV/cell
energy relative to the elements	1.658	eV/f.u.
Fermi-level density of states	3.03	states/eV per cell